# 1
A plane-wave DFT calculation with PBE-GGA was carried out for a relaxed structure of AgMo.

Cell: 7.222 7.222 7.222 Å, 109.47 109.47 109.47°
Atoms (fractional coordinates):
1 Ag 0.000 0.000 0.412
2 Ag 0.000 0.412 0.000
3 Ag 0.412 0.000 0.000
4 Ag 0.588 0.588 0.588
5 Mo 0.000 0.000 0.791
6 Mo 0.000 0.791 0.000
7 Mo 0.209 0.209 0.209
8 Mo 0.791 0.000 0.000

Properties
DFT total energy: -5.203 eV per atom
volume: 36.24 Å³ per atom
E above lowest polymorph: 1374 meV per atom
density of states at the Fermi level: 2.44 states/eV/f.u.

=====

# 2
A plane-wave DFT calculation with PBE-GGA was carried out for a relaxed structure of AgMo3.

Cell: 2.720 2.720 9.223 Å, 90.00 90.00 107.41°
Atoms (fractional coordinates):
1 Ag 0.000 0.000 0.000
2 Mo 0.000 0.000 0.500
3 Mo 0.500 0.500 0.261
4 Mo 0.500 0.500 0.739

Properties
DFT total energy: -8.596 eV per atom
volume: 16.27 Å³ per atom
E above lowest polymorph: 0 meV per atom
density of states at the Fermi level: 2.40 states/eV/f.u.

=====

# 3
A plane-wave DFT calculation with PBE-GGA was carried out for a relaxed structure of AgMo.

Cell: 2.767 4.109 5.945 Å, 90.00 94.56 90.00°
Atoms (fractional coordinates):
1 Ag 0.231 0.250 0.378
2 Ag 0.769 0.750 0.622
3 Mo 0.324 0.250 0.891
4 Mo 0.676 0.750 0.109

Properties
DFT total energy: -6.428 eV per atom
volume: 16.85 Å³ per atom
E above lowest polymorph: 149 meV per atom
density of states at the Fermi level: 1.29 states/eV/f.u.

=====

# 4
A plane-wave DFT calculation with PBE-GGA was carried out for a relaxed structure of AgMo.

Cell: 2.707 2.707 9.102 Å, 90.00 90.00 90.00°
Atoms (fractional coordinates):
1 Ag 0.250 0.250 0.127
2 Ag 0.750 0.750 0.873
3 Mo 0.250 0.250 0.624
4 Mo 0.750 0.750 0.376

Properties
DFT total energy: -6.466 eV per atom
volume: 16.68 Å³ per atom
E above lowest polymorph: 111 meV per atom
density of states at the Fermi level: 1.11 states/eV/f.u.

=====

# 5
A plane-wave DFT calculation with PBE-GGA was carried out for a relaxed structure of AgMo3.

Cell: 5.583 5.583 4.393 Å, 90.00 90.00 71.59°
Atoms (fractional coordinates):
1 Ag 0.125 0.875 0.750
2 Ag 0.875 0.125 0.250
3 Mo 0.106 0.382 0.750
4 Mo 0.382 0.106 0.250
5 Mo 0.395 0.605 0.250
6 Mo 0.605 0.395 0.750
7 Mo 0.618 0.894 0.750
8 Mo 0.894 0.618 0.250

Properties
DFT total energy: -8.467 eV per atom
volume: 16.24 Å³ per atom
E above lowest polymorph: 130 meV per atom
density of states at the Fermi level: 2.83 states/eV/f.u.

=====

# 6
A plane-wave DFT calculation with PBE-GGA was carried out for a relaxed structure of AgMo3.

Cell: 10.011 10.011 10.011 Å, 15.91 15.91 15.91°
Atoms (fractional coordinates):
1 Ag 0.000 0.000 0.000
2 Mo 0.249 0.249 0.249
3 Mo 0.500 0.500 0.500
4 Mo 0.751 0.751 0.751

Properties
DFT total energy: -8.376 eV per atom
volume: 16.43 Å³ per atom
E above lowest polymorph: 220 meV per atom
density of states at the Fermi level: 4.60 states/eV/f.u.

=====

# 7
A plane-wave DFT calculation with PBE-GGA was carried out for a relaxed structure of AgMo.

Cell: 7.244 7.244 7.244 Å, 90.00 90.00 90.00°
Atoms (fractional coordinates):
1 Ag 0.000 0.250 0.500
2 Ag 0.000 0.750 0.500
3 Ag 0.250 0.500 0.000
4 Ag 0.500 0.000 0.250
5 Ag 0.500 0.000 0.750
6 Ag 0.750 0.500 0.000
7 Mo 0.000 0.500 0.250
8 Mo 0.000 0.500 0.750
9 Mo 0.250 0.000 0.500
10 Mo 0.500 0.250 0.000
11 Mo 0.500 0.750 0.000
12 Mo 0.750 0.000 0.500

Properties
DFT total energy: -4.224 eV per atom
volume: 31.68 Å³ per atom
E above lowest polymorph: 2353 meV per atom
density of states at the Fermi level: 2.94 states/eV/f.u.

=====

# 8
A plane-wave DFT calculation with PBE-GGA was carried out for a relaxed structure of AgMo.

Cell: 4.742 6.053 9.449 Å, 90.00 90.00 90.00°
Atoms (fractional coordinates):
1 Ag 0.167 0.030 0.129
2 Ag 0.170 0.238 0.864
3 Ag 0.330 0.762 0.364
4 Ag 0.333 0.970 0.629
5 Ag 0.667 0.470 0.871
6 Ag 0.670 0.262 0.136
7 Ag 0.830 0.738 0.636
8 Ag 0.833 0.530 0.371
9 Mo 0.168 0.530 0.110
10 Mo 0.169 0.742 0.893
11 Mo 0.331 0.258 0.393
12 Mo 0.332 0.470 0.610
13 Mo 0.668 0.970 0.890
14 Mo 0.669 0.758 0.107
15 Mo 0.831 0.242 0.607
16 Mo 0.832 0.030 0.390

Properties
DFT total energy: -6.334 eV per atom
volume: 16.95 Å³ per atom
E above lowest polymorph: 243 meV per atom
density of states at the Fermi level: 1.22 states/eV/f.u.

=====

# 9
A plane-wave DFT calculation with PBE-GGA was carried out for a relaxed structure of AgMo.

Cell: 9.001 9.001 3.034 Å, 90.00 90.00 120.00°
Atoms (fractional coordinates):
1 Ag 0.152 0.305 0.250
2 Ag 0.152 0.848 0.250
3 Ag 0.305 0.152 0.750
4 Ag 0.695 0.848 0.250
5 Ag 0.848 0.152 0.750
6 Ag 0.848 0.695 0.750
7 Mo 0.131 0.565 0.750
8 Mo 0.435 0.565 0.750
9 Mo 0.435 0.869 0.750
10 Mo 0.565 0.131 0.250
11 Mo 0.565 0.435 0.250
12 Mo 0.869 0.435 0.250

Properties
DFT total energy: -6.333 eV per atom
volume: 17.74 Å³ per atom
E above lowest polymorph: 244 meV per atom
density of states at the Fermi level: 1.23 states/eV/f.u.

=====

# 10
A plane-wave DFT calculation with PBE-GGA was carried out for a relaxed structure of AgMo3.

Cell: 5.212 5.212 5.212 Å, 90.00 90.00 90.00°
Atoms (fractional coordinates):
1 Ag 0.000 0.000 0.000
2 Mo 0.000 0.000 0.500
3 Mo 0.000 0.500 0.000
4 Mo 0.500 0.000 0.000

Properties
DFT total energy: -5.297 eV per atom
volume: 35.40 Å³ per atom
E above lowest polymorph: 3299 meV per atom
density of states at the Fermi level: 5.75 states/eV/f.u.

=====

# 11
A plane-wave DFT calculation with PBE-GGA was carried out for a relaxed structure of AgMo.

Cell: 2.672 2.672 4.660 Å, 90.00 90.00 97.14°
Atoms (fractional coordinates):
1 Ag 0.000 0.000 0.000
2 Mo 0.500 0.500 0.500

Properties
DFT total energy: -6.330 eV per atom
volume: 16.50 Å³ per atom
E above lowest polymorph: 247 meV per atom
density of states at the Fermi level: 1.49 states/eV/f.u.

=====

# 12
A plane-wave DFT calculation with PBE-GGA was carried out for a relaxed structure of AgMo3.

Cell: 4.829 4.829 4.829 Å, 130.01 130.01 73.38°
Atoms (fractional coordinates):
1 Ag 0.000 0.000 0.000
2 Mo 0.250 0.750 0.500
3 Mo 0.500 0.500 0.000
4 Mo 0.750 0.250 0.500

Properties
DFT total energy: -8.356 eV per atom
volume: 16.11 Å³ per atom
E above lowest polymorph: 240 meV per atom
density of states at the Fermi level: 3.99 states/eV/f.u.

=====

Computed formation energy from the elements (kJ per mole of atoms) in order:
158.0 23.1 39.9 36.2 35.6 44.4 252.5 48.9 49.0 341.4 49.3 46.3